[1]
This record from Alexandria via LeMat-Bulk describes Pm6DyTm2 after structural relaxation. The functional is PBE.

Output
Density of states at the Fermi level = 49.62 states/eV/cell
Formation enthalpy at 0 K = 85 meV per atom
Total magnetization = 0.00 μB/atom
Relative energy among the computed polymorphs = 65 meV/atom

a = 16.3193 Å, b = 11.7698 Å, c = 6.2124 Å
α = 90.00°, β = 96.03°, γ = 90.00°
Last column: nearest neighbours and their distance in Å.
Space group C2/c (No. 15)
Unique sites:
Pm (0.0476, 0.1408, 0.0136)  4 Pm 3.33-3.66, 3 Tm 3.43-3.51, 1 Dy 3.52
Pm (0.1202, 0.3586, 0.3193)  4 Pm 3.33-3.67, 2 Dy 3.44-3.52, 2 Tm 3.51
Pm (0.2153, 0.3589, 0.8463)  4 Pm 3.32-3.67, 3 Tm 3.43-3.51, 1 Dy 3.54
Dy (0.0000, 0.4012, 0.7500)  8 Pm 3.44-3.54
Tm (0.1662, 0.0994, 0.5846)  8 Pm 3.43-3.51

[2]
This record from Alexandria via LeMat-Bulk describes CsScTl after structural relaxation. The functional is PBE.

Output
Density of states at the Fermi level = 5.46 states/eV/cell
Formation enthalpy at 0 K = -47 meV per atom
Total magnetization = 0.10 μB/atom
Relative energy among the computed polymorphs = 1 meV/atom

a = 3.9313 Å, b = 3.9392 Å, c = 15.3157 Å
α = 84.14°, β = 83.01°, γ = 90.00°
Last column: nearest neighbours and their distance in Å.
Space group P-1 (No. 2)
Unique sites:
Cs (0.0922, 0.1177, 0.3344)  4 Cs 3.93-3.94, 4 Tl 3.95, 1 Sc 4.10
Sc (0.2200, 0.2248, 0.0635)  5 Tl 3.07-3.22, 4 Sc 3.38
Tl (0.3204, 0.3091, 0.8508)  5 Sc 3.07-3.22

[3]
This record from Alexandria via LeMat-Bulk describes NpBr5Cl after structural relaxation. The functional is PBE.

Output
Density of states at the Fermi level = 14.92 states/eV/cell
Formation energy without anion corrections = -0.9336 eV/atom
Total magnetization = 0.35 μB/atom

a = 5.3461 Å, b = 11.9504 Å, c = 9.6238 Å
α = 90.00°, β = 90.00°, γ = 90.00°
Last column: nearest neighbours and their distance in Å.
Space group Imm2 (No. 44)
Unique sites:
Np (0.0000, 0.0000, 0.0000)  3 Br 2.63-2.66, 2 Cl 2.71
Br (0.0000, 0.0000, 0.2765)  1 Np 2.66
Br (0.0000, 0.2204, 0.9944)  1 Np 2.63
Br (0.2490, 0.0000, 0.7211)  2 Br 2.66-2.68
Cl (0.0000, 0.5000, 0.5461)  2 Np 2.71